First-principles (PBE) data for Al2HgMo after structural relaxation, as listed in the Alexandria database.

Calculated values
ΔE_f ... 0.0436 eV per atom
Total magnetization ... 0.000 μB per formula unit
Raw total energy ... -4.6109 eV/atom

Lattice parameters (Å, degrees): 3.2123 3.5044 6.0586 90.00 90.00 90.00
Space group Pmmm (No. 47)
One atom of each set of equivalent atoms:
Al  0.0000  0.0000  0.2130
Hg  0.5000  0.5000  0.5000
Mo  0.5000  0.5000  0.0000